Crystalline NiB2PtO at its relaxed geometry, computed with PBE with a Hubbard U.

CIF file:
```
data_NiB2PtO
_chemical_formula_sum 'Ni1 B2 Pt1 O1'
_symmetry_space_group_name_H-M 'P 4/m m m'
_symmetry_Int_Tables_number 123
_symmetry_space_group_name_Hall '-P 4 2'
_cell_length_a 3.648
_cell_length_b 3.648
_cell_length_c 4.080
_cell_angle_alpha 90.00
_cell_angle_beta 90.00
_cell_angle_gamma 90.00
loop_
_atom_site_label
_atom_site_type_symbol
_atom_site_fract_x
_atom_site_fract_y
_atom_site_fract_z
Ni1 Ni 0.000 0.000 0.000
B1 B 0.000 0.500 0.500
Pt1 Pt 0.500 0.500 0.000
O1 O 0.500 0.500 0.500
```

**Raw total energy**: -19.14 eV/cell
**Theoretical density**: 8.91 g/cm³